GeBN2F after structural relaxation. Source: Alexandria, functional PBE. Values from VASP.

The structure in Quantum ESPRESSO input format:
```
&SYSTEM
  ibrav = 0, nat = 5, ntyp = 4
/
ATOMIC_SPECIES
F 19.00 F.upf
N 14.01 N.upf
B 10.81 B.upf
Ge 72.64 Ge.upf
ATOMIC_POSITIONS crystal
F 0.000 0.000 0.500
N 0.000 0.500 0.000
N 0.500 0.000 0.000
B 0.000 0.000 0.000
Ge 0.500 0.500 0.500
CELL_PARAMETERS angstrom
3.213 0.000 0.000
0.000 3.213 0.000
0.000 0.000 4.681
```

Results
Magnetization   0.0 Bohr magnetons per cell
Calculated total energy   -5.60 eV/atom